# 1
First-principles (PBE-GGA) data for crystalline Rb2NaF at its relaxed geometry, as listed in Alexandria.

```
Rb2NaF
1.0
8.7463 0.0000 0.0000
0.0000 8.7463 0.0000
0.0000 0.0000 8.7463
Rb Na F
8 4 4
direct
0.2500 0.2500 0.2500
0.2500 0.2500 0.7500
0.2500 0.7500 0.2500
0.2500 0.7500 0.7500
0.7500 0.2500 0.2500
0.7500 0.2500 0.7500
0.7500 0.7500 0.2500
0.7500 0.7500 0.7500
0.0000 0.0000 0.0000
0.0000 0.5000 0.5000
0.5000 0.0000 0.5000
0.5000 0.5000 0.0000
0.0000 0.0000 0.5000
0.0000 0.5000 0.0000
0.5000 0.0000 0.0000
0.5000 0.5000 0.5000
```

Results
The magnetic moment is 0.0 μB per formula unit. The relative energy among the computed polymorphs is 416 meV per atom. As for the mass density: 2.11 Mg/m³. The raw total energy comes out at -2.12 eV/atom. Its formation energy (no corrections) is -0.836 eV per atom.

***

# 2
First-principles (PBE-GGA) data for crystalline SrLi2TlAg at its relaxed geometry, as listed in Alexandria.

```
SrLi2TlAg
1.0
5.1006 0.0000 0.0000
0.0000 5.1006 0.0000
0.0000 0.0000 5.3799
Sr Li Tl Ag
1 2 1 1
direct
0.0000 0.0000 0.0000
0.0000 0.5000 0.5000
0.5000 0.0000 0.5000
0.5000 0.5000 0.0000
0.5000 0.5000 0.5000
```

Results
The magnetic moment is 0.0 μB per formula unit. As for the formation energy: -63.8 meV/atom. As for the mass density: 4.91 Mg/m³. The raw total energy comes out at -2.21 eV/atom.

***

# 3
First-principles (PBE-GGA) data for crystalline SrLiZnOs at its relaxed geometry, as listed in Alexandria.

```
SrLiZnOs
1.0
3.3818 0.0000 0.0000
0.0000 3.3818 0.0000
0.0000 0.0000 7.7650
Sr Li Zn Os
1 1 1 1
direct
0.0000 0.0000 0.0000
0.5000 0.5000 0.5991
0.0000 0.0000 0.3936
0.5000 0.5000 0.2690
```

Results
The magnetic moment is 0.0 μB per formula unit. The relative energy among the computed polymorphs is 83 meV per atom. As for the formation energy: 328.9 meV/atom. As for the mass density: 6.55 Mg/m³. The raw total energy comes out at -3.70 eV/atom.

***

# 4
First-principles (PBE-GGA) data for crystalline Pr3Dy8Sc at its relaxed geometry, as listed in Alexandria.

```
Pr3Dy8Sc
1.0
-4.3697 4.3697 5.6570
4.3697 -4.3697 5.6570
4.3697 4.3697 -5.6570
Pr Dy Sc
3 8 1
direct
0.0000 0.0000 0.0000
0.2500 0.7500 0.5000
0.7500 0.2500 0.5000
0.1358 0.3868 0.0000
0.2405 0.2405 0.5340
0.2935 0.7595 0.0000
0.3868 0.1358 0.0000
0.6132 0.6132 0.7490
0.7065 0.7065 0.4660
0.7595 0.2935 0.0000
0.8642 0.8642 0.2510
0.5000 0.5000 0.0000
```

Results
The magnetic moment is 0.0 μB per formula unit. As for the formation energy: 579.6 meV/atom. As for the mass density: 6.79 Mg/m³. The raw total energy comes out at -4.21 eV/atom.

***

# 5
First-principles (PBE-GGA) data for crystalline LaY2MgP at its relaxed geometry, as listed in Alexandria.

```
LaY2MgP
1.0
5.3403 0.0000 0.0000
0.0000 5.3403 0.0000
0.0000 0.0000 5.6422
La Y Mg P
1 2 1 1
direct
0.0000 0.0000 0.0000
0.0000 0.5000 0.5000
0.5000 0.0000 0.5000
0.5000 0.5000 0.0000
0.0000 0.0000 0.5000
```

Results
The magnetic moment is 0.0 μB per formula unit. As for the formation energy: -517.5 meV/atom. As for the mass density: 3.84 Mg/m³. The raw total energy comes out at -5.49 eV/atom.

***

# 6
First-principles (PBE-GGA) data for crystalline Ba2TeOsI at its relaxed geometry, as listed in Alexandria.

```
Ba2TeOsI
1.0
6.2865 0.0000 0.0000
0.0000 6.2865 0.0000
0.0000 0.0000 4.9927
Ba Te Os I
2 1 1 1
direct
0.0000 0.5000 0.0000
0.5000 0.0000 0.0000
0.0000 0.0000 0.5000
0.0000 0.0000 0.0000
0.5000 0.5000 0.5000
```

Results
The magnetic moment is 0.0 μB per formula unit. As for the mass density: 6.05 Mg/m³. The raw total energy comes out at -4.50 eV/atom. Its formation energy (no corrections) is -0.551 eV per atom.